This record from Alexandria via LeMat-Bulk describes crystalline RhSeCl2 at its relaxed geometry. The functional is PBE.

## Properties
Volume, Å³ per atom: 22.06
Energy above the lowest structure with this stoichiometry, eV per atom: 0.517
Total energy, eV for the cell shown: -13.926
Total magnetic moment, μB/cell: 0.5
Raw formation energy, eV/atom: 0.151

Cell: 9.161 9.161 9.161 Å, 21.22 21.22 21.22°
Positions (direct):
Rh 0.000 0.000 0.000
Se 0.500 0.500 0.500
Cl 0.280 0.280 0.280
Cl 0.720 0.720 0.720